{
  "formula": "CaLaMnCrO6",
  "functional": "GGA+U",
  "state": "optimized geometry",
  "lattice": [[5.4568, 0.0000, 0.0000], [0.0000, 5.5043, 0.0000], [-5.4461, 0.0000, 7.7301]],
  "species": ["Ca", "Ca", "La", "La", "Mn", "Mn", "Cr", "Cr", "O", "O", "O", "O", "O", "O", "O", "O", "O", "O", "O", "O"],
  "fractional_positions": [[0.0000, 0.2059, 0.0000], [0.0000, 0.7941, 0.5000], [0.4841, 0.2829, 0.5003], [0.4841, 0.7171, 0.0003], [0.2409, 0.2499, 0.7508], [0.2409, 0.7501, 0.2508], [0.7395, 0.2506, 0.2494], [0.7395, 0.7494, 0.7494], [0.0706, 0.0314, 0.2895], [0.0706, 0.9686, 0.7895], [0.4008, 0.4642, 0.2069], [0.4008, 0.5358, 0.7069], [0.4834, 0.0397, 0.7120], [0.4834, 0.9603, 0.2120], [0.5679, 0.2662, 0.9953], [0.5679, 0.7338, 0.4953], [0.9232, 0.2295, 0.5050], [0.9232, 0.7705, 0.0050], [0.9970, 0.4552, 0.7927], [0.9970, 0.5448, 0.2927]],
  "total_magnetization_mub_per_cell": 12.00,
  "energy_ev_per_cell": -152.00
}